Entry 1:
DFT (PBE) results for a geometry-optimized Dy3TmZr2N6 structure.

The structure belongs to space group C2/m (No. 12); the cell edges are 5.840, 10.117 and 5.866 Å and the angles 90.00°, 109.37° and 90.00°. The asymmetric unit holds Dy at (0.000, 0.000, 0.000), Dy at (0.000, 0.334, 0.000), Tm at (0.000, 0.500, 0.500), Zr at (0.000, 0.167, 0.500), N at (0.238, 0.000, 0.734) and N at (0.249, 0.330, 0.736).

The calculation puts the size of the total moment at 0.0 μB/cell. For the density of states at the Fermi level, the calculation gives 0.13 states/eV/atom. For the uncorrected formation energy, the calculation gives -1.7574 eV per atom. As for the electronic total energy: -212.83 eV for the cell shown.

Entry 2:
DFT (PBE) results for a geometry-optimized DyTm2ZrN4 structure.

The structure belongs to space group P2/m (No. 10); the cell edges are 5.839, 3.371 and 5.849 Å and the angles 90.00°, 109.30° and 90.00°. The asymmetric unit holds Dy at (0.000, 0.000, 0.000), Tm at (0.500, 0.000, 0.500), Tm at (0.500, 0.500, 0.000), Zr at (0.000, 0.500, 0.500), N at (0.243, 0.000, 0.740) and N at (0.248, 0.500, 0.259).

The calculation puts the size of the total moment at 0.0 μB/cell. For the density of states at the Fermi level, the calculation gives 0.13 states/eV/atom. For the uncorrected formation energy, the calculation gives -1.7866 eV per atom. As for the electronic total energy: -69.69 eV for the cell shown.